This record from Alexandria via LeMat-Bulk describes a relaxed structure of TlTe2Se4. The functional is PBE-GGA.

a = 4.324 Å, b = 7.106 Å, c = 7.937 Å
α = 72.38°, β = 88.68°, γ = 84.35°
Space group P-1 (No. 2)
Asymmetric unit:
Tl 0.000 0.000 0.000 x1
Te 0.000 0.500 0.500 x1
Te 0.500 0.000 0.500 x1
Se 0.011 0.761 0.702 x2
Se 0.464 0.251 0.717 x2

## Properties
Its spin magnetization is 0.000 μB/atom. The calculation puts the energy relative to the elements, uncorrected at -71 meV/atom.



This record from Alexandria via LeMat-Bulk describes a relaxed structure of Y4Th3S8. The functional is PBE-GGA.

a = 11.221 Å, b = 11.227 Å, c = 7.929 Å
α = 90.00°, β = 134.87°, γ = 90.00°
Space group C2/m (No. 12)
Asymmetric unit:
Y 0.000 0.000 0.000 x2
Y 0.000 0.000 0.500 x2
Y 0.250 0.250 0.000 x4
Th 0.000 0.500 0.000 x2
Th 0.250 0.250 0.500 x4
S 0.000 0.246 0.000 x4
S 0.000 0.249 0.500 x4
S 0.246 0.000 0.492 x4
S 0.246 0.000 0.997 x4

## Properties
Its spin magnetization is 0.000 μB/atom. The calculation puts the energy relative to the elements, uncorrected at -1959 meV/atom.